# SrV2CuRu

An optimized crystal structure of SrV2CuRu (PBE, the Alexandria database).

space-group type: No. 123
ΔH_f (0 K): 1.429 eV/atom

Unit cell a=4.6490 b=4.6490 c=5.2219 alpha=90.00 beta=90.00 gamma=90.00
Element x y z (fractional)
Sr1 0.0000 0.0000 0.0000
V1 0.0000 0.5000 0.5000
V2 0.5000 0.0000 0.5000
Cu1 0.0000 0.0000 0.5000
Ru1 0.5000 0.5000 0.0000

# LiGaH2I

An optimized crystal structure of LiGaH2I (PBE, the Alexandria database).

space-group type: No. 123

Unit cell a=4.0879 b=4.0879 c=5.9950 alpha=90.00 beta=90.00 gamma=90.00
Element x y z (fractional)
Li1 0.0000 0.0000 0.0000
Ga1 0.5000 0.5000 0.0000
H1 0.0000 0.5000 0.5000
H2 0.5000 0.0000 0.5000
I1 0.0000 0.0000 0.5000

The E results, record by record, are as follows: -26.14 -10.62 eV for the cell shown.